Record 1
# Cs2SnSbS4 (GGA-PBE, optimized geometry)
# Uncorrected formation energy = -628 meV per atom
# D(E_F) = 0.4579 states/eV/atom
data_Cs2SnSbS4
_chemical_formula_sum 'Cs4 Sn2 Sb2 S8'
_cell_length_a 7.7653
_cell_length_b 7.7653
_cell_length_c 10.3896
_cell_angle_alpha 90.00
_cell_angle_beta 90.00
_cell_angle_gamma 90.00
_symmetry_space_group_name_H-M 'I -4'
_symmetry_Int_Tables_number 82
loop_
_symmetry_equiv_pos_as_xyz
'x,y,z'
'y,-x,-z'
'-x,-y,z'
'-y,x,-z'
'x+1/2,y+1/2,z+1/2'
'y+1/2,-x+1/2,-z+1/2'
'-x+1/2,-y+1/2,z+1/2'
'-y+1/2,x+1/2,-z+1/2'
loop_
_atom_site_label
_atom_site_type_symbol
_atom_site_fract_x
_atom_site_fract_y
_atom_site_fract_z
Cs1 Cs 0.0000 0.0000 0.0000
Cs2 Cs 0.0000 0.5000 0.2500
Sn1 Sn 0.0000 0.5000 0.7500
Sb1 Sb 0.0000 0.0000 0.5000
S1 S 0.1471 0.7493 0.6264

Record 2
# RhSe2N2 (GGA-PBE, optimized geometry)
# Uncorrected formation energy = 1587 meV per atom
# D(E_F) = 0.7040 states/eV/atom
# E above lowest polymorph = 1750 meV per atom
data_RhSe2N2
_chemical_formula_sum 'Rh1 Se2 N2'
_cell_length_a 5.1486
_cell_length_b 5.1486
_cell_length_c 3.6083
_cell_angle_alpha 90.00
_cell_angle_beta 90.00
_cell_angle_gamma 90.00
_symmetry_space_group_name_H-M 'P 4/m m m'
_symmetry_Int_Tables_number 123
_symmetry_space_group_name_Hall '-P 4 2'
loop_
_atom_site_label
_atom_site_type_symbol
_atom_site_fract_x
_atom_site_fract_y
_atom_site_fract_z
Rh1 Rh 0.0000 0.0000 0.0000
Se1 Se 0.0000 0.5000 0.0000
N1 N 0.0000 0.0000 0.5000
N2 N 0.5000 0.5000 0.5000

Record 3
# Hf6Al16Rh7 (GGA-PBE, optimized geometry)
# Raw total energy = -194.17 eV/f.u.
# D(E_F) = 0.7397 states/eV/atom
data_Hf6Al16Rh7
_chemical_formula_sum 'Hf24 Al64 Rh28'
_cell_length_a 12.2937
_cell_length_b 12.2937
_cell_length_c 12.2937
_cell_angle_alpha 90.00
_cell_angle_beta 90.00
_cell_angle_gamma 90.00
_symmetry_space_group_name_H-M 'F m -3 m'
_symmetry_Int_Tables_number 225
_symmetry_space_group_name_Hall '-F 4 2 3'
loop_
_atom_site_label
_atom_site_type_symbol
_atom_site_fract_x
_atom_site_fract_y
_atom_site_fract_z
Hf1 Hf 0.0000 0.0000 0.1857
Al1 Al 0.1198 0.1198 0.3802
Al2 Al 0.1625 0.1625 0.1625
Rh1 Rh 0.0000 0.0000 0.5000
Rh2 Rh 0.0000 0.2500 0.2500

Record 4
# NiAsRu2 (GGA-PBE, optimized geometry)
# Raw total energy = -28.36 eV/f.u.
# D(E_F) = 1.0749 states/eV/atom
data_NiAsRu2
_chemical_formula_sum 'Ni3 As3 Ru6'
_cell_length_a 2.8039
_cell_length_b 2.8039
_cell_length_c 24.2828
_cell_angle_alpha 90.00
_cell_angle_beta 90.00
_cell_angle_gamma 120.00
_symmetry_space_group_name_H-M 'R 3 m'
_symmetry_Int_Tables_number 160
_symmetry_space_group_name_Hall 'R 3 -2"'
loop_
_atom_site_label
_atom_site_type_symbol
_atom_site_fract_x
_atom_site_fract_y
_atom_site_fract_z
Ni1 Ni 0.0000 0.0000 0.0000
As1 As 0.0000 0.0000 0.2569
Ru1 Ru 0.0000 0.0000 0.5066
Ru2 Ru 0.0000 0.0000 0.7541

Record 5
# TaCoTe2As (GGA-PBE, optimized geometry)
# Uncorrected formation energy = 1438 meV per atom
# D(E_F) = 1.7477 states/eV/atom
data_TaCoTe2As
_chemical_formula_sum 'Ta1 Co1 Te2 As1'
_cell_length_a 5.4059
_cell_length_b 5.4059
_cell_length_c 4.8057
_cell_angle_alpha 90.00
_cell_angle_beta 90.00
_cell_angle_gamma 90.00
_symmetry_space_group_name_H-M 'P 4/m m m'
_symmetry_Int_Tables_number 123
_symmetry_space_group_name_Hall '-P 4 2'
loop_
_atom_site_label
_atom_site_type_symbol
_atom_site_fract_x
_atom_site_fract_y
_atom_site_fract_z
Ta1 Ta 0.0000 0.0000 0.0000
Co1 Co 0.5000 0.5000 0.0000
Te1 Te 0.0000 0.5000 0.5000
As1 As 0.0000 0.0000 0.5000